# 1
## CePuIrOs (PBE)

Data for a geometry-optimized CePuIrOs structure.

Geometry as POSCAR:
```
CePuIrOs
1.0
-0.4730 1.8830 -4.4669
-4.4102 1.2019 -1.6817
-1.2014 4.6877 -0.5521
Ir Os Ce Pu
1 1 1 1
direct
0.0000 0.0000 0.0000 Ir
0.5000 0.5000 0.5000 Os
0.2500 0.2500 0.2500 Ce
0.7500 0.7500 0.7500 Pu
```

Computed properties:
The final energy comes out at -41.380 eV per cell. The symmetry is F-43m, No. 216. Its formation energy is -256 meV/atom. For the density of states at the Fermi level, the calculation gives 1.9006 states/eV per atom.

=====

# 2
## CeSmIrOs (PBE)

Data for a geometry-optimized CeSmIrOs structure.

Geometry as POSCAR:
```
CeSmIrOs
1.0
-0.6095 -2.1270 4.4087
3.5214 0.3859 3.4326
-0.7500 2.7868 4.0004
Ir Os Ce Sm
1 1 1 1
direct
0.7500 0.7500 0.7500 Ir
0.2500 0.2500 0.2500 Os
0.5000 0.5000 0.5000 Ce
0.0000 0.0000 0.0000 Sm
```

Computed properties:
The final energy comes out at -31.999 eV per cell. The symmetry is F-43m, No. 216. Its formation energy is -314 meV/atom. For the density of states at the Fermi level, the calculation gives 0.7778 states/eV per atom.

=====

# 3
## CeYIrOs (PBE)

Data for a geometry-optimized CeYIrOs structure.

Geometry as POSCAR:
```
CeYIrOs
1.0
-3.8971 2.9521 0.0484
-4.4723 -1.8436 -0.7102
-3.1768 -0.2060 3.7107
Y Ir Os Ce
1 1 1 1
direct
0.5000 0.5000 0.5000 Y
0.2500 0.2500 0.2500 Ir
0.7500 0.7500 0.7500 Os
0.0000 0.0000 0.0000 Ce
```

Computed properties:
The final energy comes out at -34.070 eV per cell. The symmetry is F-43m, No. 216. Its formation energy is -395 meV/atom. For the density of states at the Fermi level, the calculation gives 0.8036 states/eV per atom.

=====

> Among the records above, which one has the lowest final energy?

CePuIrOs